Below is an optimized crystal structure of Ba4SrSn4, with properties calculated at the GGA-PBE level.

Properties
The calculation puts the total moment at 0.00 Bohr magnetons per cell. The calculation puts the formation energy at -50 kJ per mole of atoms.

Lattice parameters (Å, degrees): 10.5900 10.5900 7.1901 90.00 90.00 90.00
Last column: nearest neighbours and their distance in Å.
Element x y z (fractional)
Ba 0.0569 0.6640 0.1138  5 Sn 3.50-3.80
Ba 0.1640 0.9431 0.6138  5 Sn 3.50-3.80
Ba 0.3360 0.5569 0.6138  5 Sn 3.50-3.80
Ba 0.4431 0.8360 0.1138  5 Sn 3.50-3.80
Ba 0.5569 0.1640 0.8862  5 Sn 3.50-3.80
Ba 0.6640 0.4431 0.3862  5 Sn 3.50-3.80
Ba 0.8360 0.0569 0.3862  5 Sn 3.50-3.80
Ba 0.9431 0.3360 0.8862  5 Sn 3.50-3.80
Sr 0.2500 0.2500 0.2500  4 Sn 3.28
Sr 0.7500 0.7500 0.7500  4 Sn 3.28
Sn 0.0112 0.6184 0.6015  1 Sn 2.91
Sn 0.1184 0.9888 0.1015  1 Sn 2.91
Sn 0.3816 0.5112 0.1015  1 Sn 2.91
Sn 0.4888 0.8816 0.6015  1 Sn 2.91
Sn 0.5112 0.1184 0.3985  1 Sn 2.91
Sn 0.6184 0.4888 0.8985  1 Sn 2.91
Sn 0.8816 0.0112 0.8985  1 Sn 2.91
Sn 0.9888 0.3816 0.3985  1 Sn 2.91



Below is an optimized crystal structure of Ba2SrSn, with properties calculated at the GGA-PBE level.

Properties
The calculation puts the total moment at 0.00 Bohr magnetons per cell. The calculation puts the formation energy at -16 kJ per mole of atoms.

Lattice parameters (Å, degrees): 8.2912 8.2912 8.2912 101.38 101.38 127.26
Last column: nearest neighbours and their distance in Å.
Element x y z (fractional)
Ba 0.0628 0.6250 0.9378  2 Sn 3.41
Ba 0.3750 0.3128 0.4378  2 Sn 3.41
Ba 0.6872 0.1250 0.0622  2 Sn 3.41
Ba 0.8750 0.9372 0.5622  2 Sn 3.41
Sr 0.2500 0.7500 0.5000  2 Sn 3.68
Sr 0.5000 0.5000 0.0000  2 Sn 3.68
Sn 0.0000 0.0000 0.0000  4 Ba 3.41, 2 Sr 3.68
Sn 0.7500 0.2500 0.5000  4 Ba 3.41, 2 Sr 3.68



Below is an optimized crystal structure of Ba3SrSn, with properties calculated at the GGA-PBE level.

Properties
The calculation puts the total moment at 1.78 Bohr magnetons per cell. The calculation puts the formation energy at -14 kJ per mole of atoms.

Lattice parameters (Å, degrees): 6.8307 6.8307 6.8307 90.00 90.00 90.00
Last column: nearest neighbours and their distance in Å.
Element x y z (fractional)
Ba 0.0000 0.0000 0.5000  2 Sn 3.42
Ba 0.0000 0.5000 0.0000  2 Sn 3.42
Ba 0.5000 0.0000 0.0000  2 Sn 3.42
Sr 0.5000 0.5000 0.5000  12 Ba 4.83
Sn 0.0000 0.0000 0.0000  6 Ba 3.42



Below is an optimized crystal structure of BaSr3Sn2, with properties calculated at the GGA-PBE level.

Properties
The calculation puts the total moment at 0.00 Bohr magnetons per cell. The calculation puts the formation energy at -45 kJ per mole of atoms.

Lattice parameters (Å, degrees): 10.1372 10.1372 10.1372 131.93 70.04 132.31
Last column: nearest neighbours and their distance in Å.
Element x y z (fractional)
Ba 0.0000 0.0000 0.0000  2 Sn 3.31
Ba 0.5000 0.5000 0.0000  2 Sn 3.31
Sr 0.0114 0.2500 0.7614  4 Sn 3.38-3.56
Sr 0.2500 0.7500 0.5000  4 Sn 3.54
Sr 0.4886 0.2500 0.2386  4 Sn 3.38-3.56
Sr 0.5114 0.7500 0.7614  4 Sn 3.38-3.56
Sr 0.7500 0.2500 0.5000  4 Sn 3.54
Sr 0.9886 0.7500 0.2386  4 Sn 3.38-3.56
Sn 0.1385 0.7113 0.8498  1 Ba 3.31, 6 Sr 3.38-3.56
Sn 0.3615 0.2113 0.5727  1 Ba 3.31, 6 Sr 3.38-3.56
Sn 0.6385 0.7887 0.4273  1 Ba 3.31, 6 Sr 3.38-3.56
Sn 0.8615 0.2887 0.1502  1 Ba 3.31, 6 Sr 3.38-3.56



Below is an optimized crystal structure of Ba2SrSn, with properties calculated at the GGA-PBE level.

Properties
The calculation puts the total moment at 0.00 Bohr magnetons per cell. The calculation puts the formation energy at -33 kJ per mole of atoms.

Lattice parameters (Å, degrees): 5.5532 5.5532 5.5136 90.00 90.00 90.00
Last column: nearest neighbours and their distance in Å.
Element x y z (fractional)
Ba 0.0000 0.5000 0.0000  4 Sn 3.91, 4 Sr 3.91, 4 Ba 3.93
Ba 0.5000 0.0000 0.0000  4 Sn 3.91, 4 Sr 3.91, 4 Ba 3.93
Sr 0.0000 0.0000 0.5000  8 Ba 3.91, 4 Sn 3.93
Sn 0.5000 0.5000 0.5000  8 Ba 3.91, 4 Sr 3.93



Below is an optimized crystal structure of BaSrSn2, with properties calculated at the GGA-PBE level.

Properties
The calculation puts the total moment at 0.00 Bohr magnetons per cell. The calculation puts the formation energy at -55 kJ per mole of atoms.

Lattice parameters (Å, degrees): 4.3505 4.3505 7.6472 90.00 90.00 90.00
Last column: nearest neighbours and their distance in Å.
Element x y z (fractional)
Ba 0.0000 0.0000 0.0000  8 Sn 3.82, 2 Sr 3.82
Sr 0.0000 0.0000 0.5000  8 Sn 3.45, 2 Ba 3.82
Sn 0.5000 0.5000 0.2956  1 Sn 3.13, 4 Sr 3.45
Sn 0.5000 0.5000 0.7044  1 Sn 3.13, 4 Sr 3.45



> What is the total moment in the first record?

0.00 Bohr magnetons per cell



> Look up the total moment of the sixth one.

0.00 Bohr magnetons per cell